(1)
## LaTb2Pr2Sm (PBE)

Data for crystalline LaTb2Pr2Sm at its relaxed geometry.

Cell and atoms, written as POSCAR:
```
LaTb2Pr2Sm
1.0
7.1308 0.0000 0.0000
0.0000 10.0290 0.0000
0.0000 0.0000 5.7855
La Tb Pr Sm
2 4 4 2
Cartesian
0.0000 0.0000 0.0000
3.5654 5.0145 2.8927
1.7849 1.6700 2.8927
1.7805 6.6845 0.0000
5.3503 3.3444 0.0000
5.3459 8.3589 2.8927
1.7700 3.3392 0.0000
1.7954 8.3537 2.8927
5.3354 1.6753 2.8927
5.3608 6.6898 0.0000
0.0000 5.0145 2.8927
3.5654 0.0000 0.0000
```

Values from the calculation:
M_tot = 0.000 μB/atom
formation energy = 0.06 eV per atom
space-group type = Pnnm, No. 58

(2)
## Ce12ThRu6 (PBE)

Data for crystalline Ce12ThRu6 at its relaxed geometry.

Cell and atoms, written as POSCAR:
```
Ce12ThRu6
1.0
4.9966 2.8848 5.3148
-4.9966 2.8848 5.3148
0.0000 -5.7696 5.3148
Ce Th Ru
12 1 6
Cartesian
0.0000 -2.4791 4.0834
-2.1470 1.2396 4.0834
-1.8135 -1.0470 6.5848
-2.1470 -1.2396 11.8611
0.0000 -2.0941 9.3597
-1.8135 1.0470 9.3597
1.8135 -1.0470 6.5848
0.0000 2.0941 6.5848
2.1470 1.2396 4.0834
1.8135 1.0470 9.3597
2.1470 -1.2396 11.8610
0.0000 2.4791 11.8610
0.0000 0.0000 0.0000
-2.8558 -1.6488 8.9645
0.0000 -3.2975 6.9799
-2.8558 1.6488 6.9799
2.8558 -1.6488 8.9645
0.0000 3.2976 8.9645
2.8558 1.6488 6.9799
```

Values from the calculation:
M_tot = 0.061 μB/atom
formation energy = -0.08 eV per atom
excess energy over the best structure of this formula in the dataset = 54.6 meV per atom
space-group type = R-3m, No. 166